Run a
LuAgPbSe3: optimized geometry, GGA-PBE.

Cell: 8.4852 4.2448 16.4828 Å, 90.00 90.00 90.00°
Space group Pnma (No. 62)
Unique sites:
Lu 0.2415 0.2500 0.0311 (multiplicity 4)
Ag 0.1291 0.7500 0.8583 (multiplicity 4)
Pb 0.0739 0.7500 0.2794 (multiplicity 4)
Se 0.0284 0.7500 0.0861 (multiplicity 4)
Se 0.1156 0.2500 0.4477 (multiplicity 4)
Se 0.1861 0.7500 0.7006 (multiplicity 4)

***

Run b
LuAgPbSe3: optimized geometry, GGA-PBE.

Cell: 7.8269 4.0364 10.0072 Å, 90.00 107.39 90.00°
Space group P2_1/m (No. 11)
Unique sites:
Lu 0.1918 0.2500 0.1584 (multiplicity 2)
Ag 0.4103 0.7500 0.4044 (multiplicity 2)
Pb 0.2394 0.7500 0.7017 (multiplicity 2)
Se 0.0696 0.2500 0.8657 (multiplicity 2)
Se 0.2034 0.2500 0.4521 (multiplicity 2)
Se 0.4402 0.7500 0.1510 (multiplicity 2)

***

How do the energies compare? Relative to the most stable structure, in kJ/mol of atoms: run a 6.1; run b 0.0.

***

Run a
LuAgPbSe3: optimized geometry, GGA-PBE.

Cell: 17.8902 4.0567 8.6692 Å, 90.00 102.96 90.00°
Space group C2/m (No. 12)
Unique sites:
Lu 0.1644 0.0000 0.0865 (multiplicity 4)
Ag 0.0271 0.5000 0.2130 (multiplicity 4)
Pb 0.1335 0.0000 0.5726 (multiplicity 4)
Se 0.0000 0.0000 0.0000 (multiplicity 2)
Se 0.0000 0.5000 0.5000 (multiplicity 2)
Se 0.1729 0.5000 0.8621 (multiplicity 4)
Se 0.1836 0.5000 0.3204 (multiplicity 4)

***

Run b
LuAgPbSe3: optimized geometry, GGA-PBE.

Cell: 10.6613 4.1004 13.6634 Å, 90.00 90.00 90.00°
Space group Pnma (No. 62)
Unique sites:
Lu 0.0169 0.2500 0.2443 (multiplicity 4)
Ag 0.2393 0.2500 0.7159 (multiplicity 4)
Pb 0.2292 0.7500 0.5089 (multiplicity 4)
Se 0.0310 0.2500 0.6137 (multiplicity 4)
Se 0.0641 0.7500 0.1050 (multiplicity 4)
Se 0.2342 0.7500 0.8402 (multiplicity 4)

***

Run c
LuAgPbSe3: optimized geometry, GGA-PBE.

Cell: 11.8839 4.1858 12.2681 Å, 90.00 90.00 90.00°
Space group Pnma (No. 62)
Unique sites:
Lu 0.0215 0.2500 0.1820 (multiplicity 4)
Ag 0.2451 0.7500 0.3047 (multiplicity 4)
Pb 0.1782 0.2500 0.5003 (multiplicity 4)
Se 0.0260 0.7500 0.3503 (multiplicity 4)
Se 0.0821 0.2500 0.9310 (multiplicity 4)
Se 0.2457 0.7500 0.6657 (multiplicity 4)

***

How do the energies compare? Relative to the most stable structure, in kJ/mol of atoms: run a 0.0; run b 1.3; run c 6.5.

***

Run a
LuAgPbSe3: optimized geometry, GGA-PBE.

Cell: 13.6649 4.1004 10.8350 Å, 90.00 90.00 90.00°
Space group Pnma (No. 62)
Unique sites:
Lu 0.0164 0.2500 0.1697 (multiplicity 4)
Ag 0.0112 0.7500 0.4085 (multiplicity 4)
Pb 0.2269 0.2500 0.4581 (multiplicity 4)
Se 0.1033 0.2500 0.9346 (multiplicity 4)
Se 0.1181 0.7500 0.6305 (multiplicity 4)
Se 0.1496 0.7500 0.2382 (multiplicity 4)

***

Run b
LuAgPbSe3: optimized geometry, GGA-PBE.

Cell: 4.0681 13.8793 10.5439 Å, 90.00 90.00 90.00°
Space group Cmcm (No. 63)
Unique sites:
Lu 0.0000 0.0000 0.0000 (multiplicity 4)
Ag 0.0000 0.4635 0.2500 (multiplicity 4)
Pb 0.0000 0.2426 0.7500 (multiplicity 4)
Se 0.0000 0.0886 0.2500 (multiplicity 4)
Se 0.0000 0.3587 0.0461 (multiplicity 8)

***

How do the energies compare? Relative to the most stable structure, in kJ/mol of atoms: run a 0.0; run b 2.2.

***

Run a
LuReAg: optimized geometry, GGA-PBE.

Cell: 6.5369 6.5369 6.5369 Å, 90.00 90.00 90.00°
Space group F-43m (No. 216)
Unique sites:
Lu 0.0000 0.0000 0.0000 (multiplicity 4)
Re 0.2500 0.2500 0.2500 (multiplicity 4)
Ag 0.2500 0.2500 0.7500 (multiplicity 4)

***

Run b
LuReAg: optimized geometry, GGA-PBE.

Cell: 6.4211 6.4211 6.4211 Å, 90.00 90.00 90.00°
Space group F-43m (No. 216)
Unique sites:
Lu 0.0000 0.0000 0.0000 (multiplicity 4)
Re 0.0000 0.0000 0.5000 (multiplicity 4)
Ag 0.2500 0.2500 0.2500 (multiplicity 4)

***

How do the energies compare? Relative to the most stable structure, in kJ/mol of atoms: run a 33.4; run b 0.0.

***

Run a
LuAgSnSe3: optimized geometry, GGA-PBE.

Cell: 12.1781 4.1290 12.0186 Å, 90.00 90.00 90.00°
Space group Pnma (No. 62)
Unique sites:
Lu 0.0266 0.2500 0.1738 (multiplicity 4)
Ag 0.2381 0.7500 0.3215 (multiplicity 4)
Sn 0.1701 0.2500 0.5165 (multiplicity 4)
Se 0.0228 0.7500 0.3460 (multiplicity 4)
Se 0.0838 0.2500 0.9336 (multiplicity 4)
Se 0.2438 0.7500 0.6698 (multiplicity 4)

***

Run b
LuAgSnSe3: optimized geometry, GGA-PBE.

Cell: 4.0634 13.5737 10.5200 Å, 90.00 90.00 90.00°
Space group Cmcm (No. 63)
Unique sites:
Lu 0.0000 0.0000 0.0000 (multiplicity 4)
Ag 0.0000 0.4657 0.2500 (multiplicity 4)
Sn 0.0000 0.2404 0.7500 (multiplicity 4)
Se 0.0000 0.0931 0.2500 (multiplicity 4)
Se 0.0000 0.3566 0.0473 (multiplicity 8)

***

How do the energies compare? Relative to the most stable structure, in kJ/mol of atoms: run a 2.7; run b 0.0.

***

Run a
MgNbAgPt: optimized geometry, GGA-PBE.

Cell: 6.4514 6.4514 6.4514 Å, 90.00 90.00 90.00°
Space group F-43m (No. 216)
Unique sites:
Mg 0.0000 0.0000 0.0000 (multiplicity 4)
Nb 0.2500 0.2500 0.7500 (multiplicity 4)
Ag 0.2500 0.2500 0.2500 (multiplicity 4)
Pt 0.0000 0.0000 0.5000 (multiplicity 4)

***

Run b
MgNbAgPt: optimized geometry, GGA-PBE.

Cell: 6.5000 6.5000 6.5000 Å, 90.00 90.00 90.00°
Space group F-43m (No. 216)
Unique sites:
Mg 0.0000 0.0000 0.0000 (multiplicity 4)
Nb 0.0000 0.0000 0.5000 (multiplicity 4)
Ag 0.2500 0.2500 0.7500 (multiplicity 4)
Pt 0.2500 0.2500 0.2500 (multiplicity 4)

***

How do the energies compare? Relative to the most stable structure, in kJ/mol of atoms: run a 7.1; run b 0.0.

***

Run a
MgAgSO: optimized geometry, GGA-PBE.

Cell: 3.8235 13.2213 5.1894 Å, 90.00 90.00 90.00°
Space group Cmc2_1 (No. 36)
Unique sites:
Mg 0.0000 0.0673 0.0000 (multiplicity 4)
Ag 0.0000 0.3356 0.0871 (multiplicity 4)
S 0.0000 0.3200 0.5987 (multiplicity 4)
O 0.0000 0.0691 0.6268 (multiplicity 4)

***

Run b
MgAgSO: optimized geometry, GGA-PBE.

Cell: 3.9109 3.9109 8.4160 Å, 90.00 90.00 90.00°
Space group P4/nmm (No. 129, origin choice 2)
Unique sites:
Mg 0.2500 0.2500 0.2251 (multiplicity 2)
Ag 0.2500 0.7500 0.5000 (multiplicity 2)
S 0.2500 0.2500 0.8183 (multiplicity 2)
O 0.2500 0.2500 0.0029 (multiplicity 2)

***

Run c
MgAgSO: optimized geometry, GGA-PBE.

Cell: 3.2032 13.8035 5.9092 Å, 90.00 90.00 90.00°
Space group Cmc2_1 (No. 36)
Unique sites:
Mg 0.0000 0.1720 0.0000 (multiplicity 4)
Ag 0.0000 0.4567 0.0803 (multiplicity 4)
S 0.0000 0.1745 0.4305 (multiplicity 4)
O 0.0000 0.4004 0.4320 (multiplicity 4)

***

Run d
MgAgSO: optimized geometry, GGA-PBE.

Cell: 4.4100 4.4100 7.1124 Å, 90.00 90.00 90.00°
Space group P4/nmm (No. 129, origin choice 2)
Unique sites:
Mg 0.2500 0.7500 0.0000 (multiplicity 2)
Ag 0.2500 0.2500 0.2372 (multiplicity 2)
S 0.2500 0.2500 0.7592 (multiplicity 2)
O 0.2500 0.2500 0.5429 (multiplicity 2)

***

How do the energies compare? Relative to the most stable structure, in kJ/mol of atoms: run a 0.0; run b 29.7; run c 3.8; run d 59.8.